## P
A plane-wave DFT calculation with GGA-PBE was carried out for an optimized crystal structure of Hg2PdAu2.

- Magnetic moment: 0.00 Bohr magnetons per cell

Structure (CIF):
```
data_Hg2PdAu2
_cell_length_a 7.310
_cell_length_b 7.310
_cell_length_c 3.794
_cell_angle_alpha 90.00
_cell_angle_beta 90.00
_cell_angle_gamma 90.00
_space_group_name_H-M_alt 'P 4/m b m'
_space_group_IT_number 127
_space_group_name_Hall '-P 4 2ab'
loop_
_atom_site_label
_atom_site_type_symbol
_atom_site_fract_x
_atom_site_fract_y
_atom_site_fract_z
Hg1 Hg 0.169 0.331 0.000
Pd1 Pd 0.000 0.000 0.500
Au1 Au 0.136 0.636 0.500
```

---

## Q
A plane-wave DFT calculation with GGA-PBE was carried out for an optimized crystal structure of Hg2PdAu2.

- Magnetic moment: 0.00 Bohr magnetons per cell

Structure (CIF):
```
data_Hg2PdAu2
_cell_length_a 7.455
_cell_length_b 7.455
_cell_length_c 3.655
_cell_angle_alpha 90.00
_cell_angle_beta 90.00
_cell_angle_gamma 90.00
_space_group_name_H-M_alt 'P 4/m b m'
_space_group_IT_number 127
_space_group_name_Hall '-P 4 2ab'
loop_
_atom_site_label
_atom_site_type_symbol
_atom_site_fract_x
_atom_site_fract_y
_atom_site_fract_z
Hg1 Hg 0.151 0.349 0.000
Pd1 Pd 0.000 0.000 0.000
Au1 Au 0.150 0.650 0.500
```

---

## R
A plane-wave DFT calculation with GGA-PBE was carried out for an optimized crystal structure of Hg2PdAu2.

- Magnetic moment: 0.00 Bohr magnetons per cell

Structure (CIF):
```
data_Hg2PdAu2
_cell_length_a 13.122
_cell_length_b 4.942
_cell_length_c 6.089
_cell_angle_alpha 90.00
_cell_angle_beta 105.08
_cell_angle_gamma 90.00
_space_group_name_H-M_alt 'C 1 2/c 1'
_space_group_IT_number 15
_space_group_name_Hall '-C 2yc'
loop_
_atom_site_label
_atom_site_type_symbol
_atom_site_fract_x
_atom_site_fract_y
_atom_site_fract_z
Hg1 Hg 0.101 0.101 0.455
Pd1 Pd 0.000 0.405 0.750
Au1 Au 0.195 0.406 0.138
```

---

Decreasing stability: R, P, Q

---

## P
A plane-wave DFT calculation with GGA-PBE was carried out for an optimized crystal structure of HgPd8Au2.

- Magnetic moment: 0.00 Bohr magnetons per cell

Structure (CIF):
```
data_HgPd8Au2
_cell_length_a 14.453
_cell_length_b 4.033
_cell_length_c 6.407
_cell_angle_alpha 90.00
_cell_angle_beta 106.08
_cell_angle_gamma 90.00
_space_group_name_H-M_alt 'C 1 2/m 1'
_space_group_IT_number 12
_space_group_name_Hall '-C 2y'
loop_
_atom_site_label
_atom_site_type_symbol
_atom_site_fract_x
_atom_site_fract_y
_atom_site_fract_z
Hg1 Hg 0.000 0.000 0.000
Pd1 Pd 0.046 0.500 0.724
Pd2 Pd 0.090 0.000 0.456
Pd3 Pd 0.137 0.500 0.181
Pd4 Pd 0.182 0.000 0.909
Au1 Au 0.227 0.500 0.639
```

---

## Q
A plane-wave DFT calculation with GGA-PBE was carried out for an optimized crystal structure of HgPd8Au2.

- Magnetic moment: 0.00 Bohr magnetons per cell

Structure (CIF):
```
data_HgPd8Au2
_cell_length_a 10.154
_cell_length_b 9.144
_cell_length_c 4.770
_cell_angle_alpha 90.00
_cell_angle_beta 105.98
_cell_angle_gamma 90.00
_space_group_name_H-M_alt 'C 1 2/m 1'
_space_group_IT_number 12
_space_group_name_Hall '-C 2y'
loop_
_atom_site_label
_atom_site_type_symbol
_atom_site_fract_x
_atom_site_fract_y
_atom_site_fract_z
Hg1 Hg 0.000 0.000 0.000
Pd1 Pd 0.069 0.500 0.289
Pd2 Pd 0.081 0.252 0.791
Pd3 Pd 0.217 0.500 0.871
Au1 Au 0.155 0.000 0.560
```

---

Decreasing stability: P, Q

---

## P
A plane-wave DFT calculation with GGA-PBE was carried out for an optimized crystal structure of HgPd3Au4.

- Magnetic moment: 0.00 Bohr magnetons per cell

Structure (CIF):
```
data_HgPd3Au4
_cell_length_a 4.785
_cell_length_b 4.851
_cell_length_c 12.051
_cell_angle_alpha 90.00
_cell_angle_beta 90.00
_cell_angle_gamma 90.00
_space_group_name_H-M_alt 'I m m m'
_space_group_IT_number 71
_space_group_name_Hall '-I 2 2'
loop_
_atom_site_label
_atom_site_type_symbol
_atom_site_fract_x
_atom_site_fract_y
_atom_site_fract_z
Hg1 Hg 0.000 0.000 0.000
Pd1 Pd 0.000 0.000 0.500
Pd2 Pd 0.000 0.500 0.375
Au1 Au 0.000 0.000 0.255
Au2 Au 0.000 0.500 0.126
```

---

## Q
A plane-wave DFT calculation with GGA-PBE was carried out for an optimized crystal structure of HgPd3Au4.

- Magnetic moment: 0.00 Bohr magnetons per cell

Structure (CIF):
```
data_HgPd3Au4
_cell_length_a 16.740
_cell_length_b 4.124
_cell_length_c 4.147
_cell_angle_alpha 90.00
_cell_angle_beta 104.26
_cell_angle_gamma 90.00
_space_group_name_H-M_alt 'C 1 2/m 1'
_space_group_IT_number 12
_space_group_name_Hall '-C 2y'
loop_
_atom_site_label
_atom_site_type_symbol
_atom_site_fract_x
_atom_site_fract_y
_atom_site_fract_z
Hg1 Hg 0.000 0.000 0.000
Pd1 Pd 0.000 0.500 0.500
Pd2 Pd 0.249 0.500 0.749
Au1 Au 0.130 0.000 0.630
Au2 Au 0.130 0.500 0.130
```

---

Decreasing stability: Q, P

---

## P
A plane-wave DFT calculation with GGA-PBE was carried out for an optimized crystal structure of HgPd3Au.

- Magnetic moment: 0.00 Bohr magnetons per cell

Structure (CIF):
```
data_HgPd3Au
_cell_length_a 4.997
_cell_length_b 4.997
_cell_length_c 4.997
_cell_angle_alpha 90.00
_cell_angle_beta 90.00
_cell_angle_gamma 90.00
_space_group_name_H-M_alt 'P m -3 m'
_space_group_IT_number 221
_space_group_name_Hall '-P 4 2 3'
loop_
_atom_site_label
_atom_site_type_symbol
_atom_site_fract_x
_atom_site_fract_y
_atom_site_fract_z
Hg1 Hg 0.000 0.000 0.000
Pd1 Pd 0.000 0.500 0.500
Au1 Au 0.500 0.500 0.500
```

---

## Q
A plane-wave DFT calculation with GGA-PBE was carried out for an optimized crystal structure of HgPd3Au.

- Magnetic moment: 0.00 Bohr magnetons per cell

Structure (CIF):
```
data_HgPd3Au
_cell_length_a 11.835
_cell_length_b 8.055
_cell_length_c 9.222
_cell_angle_alpha 90.00
_cell_angle_beta 127.49
_cell_angle_gamma 90.00
_space_group_name_H-M_alt 'C 1 2/c 1'
_space_group_IT_number 15
_space_group_name_Hall '-C 2yc'
loop_
_atom_site_label
_atom_site_type_symbol
_atom_site_fract_x
_atom_site_fract_y
_atom_site_fract_z
Hg1 Hg 0.000 0.002 0.250
Hg2 Hg 0.000 0.369 0.750
Pd1 Pd 0.079 0.182 0.559
Pd2 Pd 0.202 0.499 0.100
Pd3 Pd 0.208 0.153 0.087
Au1 Au 0.142 0.315 0.304
```

---

Decreasing stability: Q, P

---

## P
A plane-wave DFT calculation with GGA-PBE was carried out for an optimized crystal structure of HgPd4Au2.

- Magnetic moment: 0.00 Bohr magnetons per cell

Structure (CIF):
```
data_HgPd4Au2
_cell_length_a 5.012
_cell_length_b 5.012
_cell_length_c 13.269
_cell_angle_alpha 90.00
_cell_angle_beta 90.00
_cell_angle_gamma 90.00
_space_group_name_H-M_alt 'I 4/m m m'
_space_group_IT_number 139
_space_group_name_Hall '-I 4 2'
loop_
_atom_site_label
_atom_site_type_symbol
_atom_site_fract_x
_atom_site_fract_y
_atom_site_fract_z
Hg1 Hg 0.000 0.000 0.000
Pd1 Pd 0.000 0.000 0.200
Pd2 Pd 0.000 0.500 0.000
Au1 Au 0.000 0.000 0.396
```

---

## Q
A plane-wave DFT calculation with GGA-PBE was carried out for an optimized crystal structure of HgPd4Au2.

- Magnetic moment: 0.00 Bohr magnetons per cell

Structure (CIF):
```
data_HgPd4Au2
_cell_length_a 6.810
_cell_length_b 7.017
_cell_length_c 7.050
_cell_angle_alpha 60.37
_cell_angle_beta 63.75
_cell_angle_gamma 62.13
_space_group_name_H-M_alt 'P 1'
_space_group_IT_number 1
_space_group_name_Hall 'P 1'
loop_
_atom_site_label
_atom_site_type_symbol
_atom_site_fract_x
_atom_site_fract_y
_atom_site_fract_z
Hg1 Hg 0.000 0.000 0.000
Hg2 Hg 0.127 0.396 0.068
Pd1 Pd 0.080 0.243 0.536
Pd2 Pd 0.199 0.926 0.330
Pd3 Pd 0.286 0.456 0.616
Pd4 Pd 0.334 0.573 0.176
Pd5 Pd 0.529 0.110 0.221
Pd6 Pd 0.663 0.662 0.244
Pd7 Pd 0.769 0.461 0.918
Pd8 Pd 0.933 0.827 0.769
Au1 Au 0.406 0.751 0.683
Au2 Au 0.467 0.997 0.879
Au3 Au 0.727 0.200 0.425
Au4 Au 0.871 0.715 0.465
```

---

Decreasing stability: Q, P

---

## P
A plane-wave DFT calculation with GGA-PBE was carried out for an optimized crystal structure of Hg3PdAu.

- Magnetic moment: 0.00 Bohr magnetons per cell

Structure (CIF):
```
data_Hg3PdAu
_cell_length_a 5.218
_cell_length_b 5.218
_cell_length_c 5.218
_cell_angle_alpha 90.00
_cell_angle_beta 90.00
_cell_angle_gamma 90.00
_space_group_name_H-M_alt 'P m -3 m'
_space_group_IT_number 221
_space_group_name_Hall '-P 4 2 3'
loop_
_atom_site_label
_atom_site_type_symbol
_atom_site_fract_x
_atom_site_fract_y
_atom_site_fract_z
Hg1 Hg 0.000 0.000 0.500
Pd1 Pd 0.000 0.000 0.000
Au1 Au 0.500 0.500 0.500
```

---

## Q
A plane-wave DFT calculation with GGA-PBE was carried out for an optimized crystal structure of Hg3PdAu.

- Magnetic moment: 0.00 Bohr magnetons per cell

Structure (CIF):
```
data_Hg3PdAu
_cell_length_a 14.959
_cell_length_b 13.714
_cell_length_c 4.478
_cell_angle_alpha 90.00
_cell_angle_beta 107.23
_cell_angle_gamma 90.00
_space_group_name_H-M_alt 'C 1 2/c 1'
_space_group_IT_number 15
_space_group_name_Hall '-C 2yc'
loop_
_atom_site_label
_atom_site_type_symbol
_atom_site_fract_x
_atom_site_fract_y
_atom_site_fract_z
Hg1 Hg 0.103 0.089 0.356
Hg2 Hg 0.127 0.416 0.377
Hg3 Hg 0.129 0.251 0.879
Pd1 Pd 0.000 0.263 0.250
Pd2 Pd 0.000 0.415 0.750
Au1 Au 0.237 0.077 0.988
```

---

Decreasing stability: Q, P